# 1
This record from the Alexandria database describes a relaxed structure of DyY3Er2Sb6. The functional is PBE-GGA.

Lattice parameters (Å, degrees): 7.583 7.583 7.579 99.59 99.59 120.00
Fractional coordinates of all 12 atoms:
1 Sb 0.417 0.083 0.248
2 Sb 0.252 0.252 0.752
3 Dy 0.000 0.000 0.000
4 Sb 0.748 0.748 0.248
5 Sb 0.917 0.583 0.752
6 Sb 0.583 0.917 0.752
7 Y 0.834 0.166 0.500
8 Er 0.333 0.667 0.000
9 Er 0.667 0.333 0.000
10 Y 0.500 0.500 0.500
11 Sb 0.083 0.417 0.248
12 Y 0.166 0.834 0.500

Output
For the density of states at the Fermi level, the calculation gives 2.17 states/eV/f.u. The total moment comes out at 0.000 μB/f.u. Its space group is C2/m (12). The formation energy (no corrections) comes out at -1.1360 eV per atom.

---

# 2
This record from the Alexandria database describes a relaxed structure of Dy4Y2Er5. The functional is PBE-GGA.

Lattice parameters (Å, degrees): 6.601 8.839 10.134 40.03 70.99 68.08
Fractional coordinates of all 11 atoms:
1 Er 0.000 0.500 0.500
2 Er 0.173 0.273 0.902
3 Y 0.200 0.901 0.698
4 Er 0.827 0.727 0.098
5 Dy 0.412 0.773 0.403
6 Er 0.651 0.273 0.902
7 Dy 0.245 0.324 0.186
8 Dy 0.755 0.676 0.814
9 Er 0.349 0.727 0.098
10 Y 0.800 0.099 0.302
11 Dy 0.588 0.227 0.597

Output
For the density of states at the Fermi level, the calculation gives 17.60 states/eV/f.u. The total moment comes out at 0.000 μB/f.u. Its space group is C2/m (12). For the formation enthalpy at 0 K, the calculation gives 17 kJ/mol of atoms.

---

# 3
This record from the Alexandria database describes a relaxed structure of PrNd2Ga2Ni2. The functional is PBE-GGA.

Lattice parameters (Å, degrees): 4.358 4.358 10.227 77.70 77.70 60.00
Fractional coordinates of all 7 atoms:
1 Pr 0.000 0.000 0.000
2 Ni 0.601 0.601 0.196
3 Nd 0.880 0.880 0.361
4 Ga 0.268 0.268 0.196
5 Ni 0.399 0.399 0.804
6 Nd 0.120 0.120 0.639
7 Ga 0.732 0.732 0.804

Output
For the density of states at the Fermi level, the calculation gives 7.89 states/eV/f.u. The total moment comes out at 0.000 μB/f.u. Its space group is R-3m (166). For the formation enthalpy at 0 K, the calculation gives -42 kJ/mol of atoms.